The following is a DFT calculation (PBE) of NbP2F after structural relaxation.

Geometry as extended XYZ:
```
4
Lattice="0.000 3.069 3.069 3.069 0.000 3.069 3.069 3.069 0.000" Properties=species:S:1:pos:R:3 pbc="T T T"
Nb 0.000 0.000 0.000
P 1.535 1.535 1.535
P 4.604 4.604 4.604
F 3.069 3.069 3.069
```

Summary:
DOS at the Fermi energy   0.35 states/eV per atom
Energy   -5.932 eV/atom
Offset from the most stable computed form   0.000 eV per atom

The following is a DFT calculation (PBE) of Nb2PF after structural relaxation.

Geometry as extended XYZ:
```
4
Lattice="0.000 3.051 3.051 3.051 0.000 3.051 3.051 3.051 0.000" Properties=species:S:1:pos:R:3 pbc="T T T"
Nb 1.526 1.526 1.526
Nb 4.577 4.577 4.577
P 0.000 0.000 0.000
F 3.051 3.051 3.051
```

Summary:
DOS at the Fermi energy   0.60 states/eV per atom
Energy   -7.708 eV/atom
Offset from the most stable computed form   0.000 eV per atom

The following is a DFT calculation (PBE) of Nb3PF after structural relaxation.

Geometry as extended XYZ:
```
5
Lattice="4.258 0.000 0.000 0.000 4.258 0.000 0.000 0.000 4.258" Properties=species:S:1:pos:R:3 pbc="T T T"
Nb 0.000 0.000 2.129
Nb 0.000 2.129 0.000
Nb 2.129 0.000 0.000
P 2.129 2.129 2.129
F 0.000 0.000 0.000
```

Summary:
DOS at the Fermi energy   0.91 states/eV per atom
Energy   -7.488 eV/atom
Offset from the most stable computed form   0.000 eV per atom